No. 1
{
  "formula": "Ba2BiPt2",
  "functional": "GGA-PBE",
  "state": "relaxed",
  "cell": [[7.9561, 0.0000, 0.0000], [0.0000, 7.9561, 0.0000], [0.0000, 0.0000, 4.6915]],
  "species": ["Ba", "Ba", "Bi", "Ba", "Bi", "Pt", "Ba", "Pt", "Pt", "Pt"],
  "fractional_positions": [[0.1801, 0.6801, 0.5000], [0.3199, 0.1801, 0.5000], [0.5000, 0.5000, 0.0000], [0.8199, 0.3199, 0.5000], [0.0000, 0.0000, 0.0000], [0.8797, 0.6203, 0.0000], [0.6801, 0.8199, 0.5000], [0.3797, 0.8797, 0.0000], [0.1203, 0.3797, 0.0000], [0.6203, 0.1203, 0.0000]],
  "e_tot_ev_per_atom": -4.63,
  "dos_ef_per_ev_atom": 0.91,
  "m_tot_mub_per_cell": 0.0
}

No. 2
{
  "formula": "Ba12Bi5Pt2",
  "functional": "GGA-PBE",
  "state": "relaxed",
  "cell": [[-3.5452, 8.4149, -0.8710], [2.6148, -4.8510, -9.2101], [-10.2124, -4.0282, 2.6490]],
  "species": ["Ba", "Ba", "Ba", "Ba", "Ba", "Ba", "Bi", "Bi", "Bi", "Ba", "Pt", "Bi", "Ba", "Ba", "Ba", "Pt", "Ba", "Ba", "Bi"],
  "fractional_positions": [[0.0082, 0.0163, 0.8155], [0.4992, 0.9984, 0.7919], [0.8988, 0.3316, 0.0897], [0.5979, 0.7078, 0.4318], [0.1099, 0.7078, 0.4318], [0.4328, 0.3316, 0.0897], [0.6922, 0.3844, 0.8395], [0.0000, 0.0000, 0.5000], [0.2986, 0.5972, 0.6412], [0.9918, 0.9837, 0.1845], [0.2569, 0.0000, 0.0000], [0.3078, 0.6156, 0.1605], [0.8901, 0.2922, 0.5682], [0.5008, 0.0016, 0.2081], [0.5672, 0.6684, 0.9103], [0.7431, 0.0000, 0.0000], [0.1012, 0.6684, 0.9103], [0.4021, 0.2922, 0.5682], [0.7014, 0.4028, 0.3588]],
  "e_tot_ev_per_atom": -3.62,
  "dos_ef_per_ev_atom": 0.49,
  "m_tot_mub_per_cell": 1.0
}

No. 3
{
  "formula": "Ba3Bi3Pt2",
  "functional": "GGA-PBE",
  "state": "relaxed",
  "cell": [[-1.4480, -1.6596, 4.4357], [-4.2546, -1.8364, -4.8406], [8.8625, -14.1769, -2.4112]],
  "species": ["Pt", "Ba", "Bi", "Pt", "Pt", "Ba", "Pt", "Ba", "Bi", "Ba", "Bi", "Bi", "Ba", "Bi", "Ba", "Bi"],
  "fractional_positions": [[0.7976, 0.5952, 0.6008], [0.6306, 0.2612, 0.2500], [0.6416, 0.2832, 0.0330], [0.2024, 0.4048, 0.1008], [0.2024, 0.4048, 0.3992], [0.3694, 0.7388, 0.7500], [0.7976, 0.5952, 0.8992], [0.9172, 0.8344, 0.3908], [0.3584, 0.7168, 0.9670], [0.0828, 0.1656, 0.6092], [0.3584, 0.7168, 0.5330], [0.6749, 0.3498, 0.7500], [0.0828, 0.1656, 0.8908], [0.3251, 0.6502, 0.2500], [0.9172, 0.8344, 0.1092], [0.6416, 0.2832, 0.4670]],
  "e_tot_ev_per_atom": -4.45,
  "dos_ef_per_ev_atom": 0.63,
  "m_tot_mub_per_cell": 0.0
}

No. 4
{
  "formula": "BaBi3Pt3",
  "functional": "GGA-PBE",
  "state": "relaxed",
  "cell": [[7.6386, 0.0000, 0.0000], [0.0000, 7.6386, 0.0000], [0.0000, 0.0000, 7.6386]],
  "species": ["Pt", "Bi", "Pt", "Pt", "Pt", "Ba", "Bi", "Bi", "Pt", "Pt", "Ba", "Bi", "Bi", "Bi"],
  "fractional_positions": [[0.2500, 0.0000, 0.5000], [0.5000, 0.0000, 0.7500], [0.5000, 0.7500, 0.0000], [0.5000, 0.2500, 0.0000], [0.0000, 0.5000, 0.2500], [0.5000, 0.5000, 0.5000], [0.0000, 0.2500, 0.5000], [0.5000, 0.0000, 0.2500], [0.7500, 0.0000, 0.5000], [0.0000, 0.5000, 0.7500], [0.0000, 0.0000, 0.0000], [0.7500, 0.5000, 0.0000], [0.0000, 0.7500, 0.5000], [0.2500, 0.5000, 0.0000]],
  "e_tot_ev_per_atom": -4.84,
  "dos_ef_per_ev_atom": 0.97,
  "m_tot_mub_per_cell": 0.0
}

No. 5
{
  "formula": "Ba3Bi4Pt3",
  "functional": "GGA-PBE",
  "state": "relaxed",
  "cell": [[-3.3864, -7.5873, 4.1259], [7.1454, 3.2720, 4.9290], [-6.6311, 6.4681, -0.5007]],
  "species": ["Pt", "Bi", "Ba", "Ba", "Pt", "Bi", "Pt", "Pt", "Bi", "Bi", "Bi", "Pt", "Bi", "Bi", "Ba", "Pt", "Bi", "Ba", "Ba", "Ba"],
  "fractional_positions": [[0.3750, 0.2500, 0.1250], [0.0000, 0.0000, 0.3475], [0.8750, 0.2500, 0.6250], [0.2500, 0.8750, 0.1250], [0.8750, 0.6250, 0.7500], [0.5000, 0.8475, 0.5000], [0.7500, 0.1250, 0.8750], [0.1250, 0.7500, 0.3750], [0.6525, 0.1525, 0.1525], [0.5000, 0.3475, 0.5000], [0.8475, 0.5000, 0.0000], [0.6250, 0.8750, 0.2500], [0.3475, 0.5000, 0.0000], [0.1525, 0.6525, 0.6525], [0.1250, 0.3750, 0.2500], [0.2500, 0.3750, 0.6250], [0.0000, 0.0000, 0.8475], [0.3750, 0.1250, 0.7500], [0.6250, 0.7500, 0.8750], [0.7500, 0.6250, 0.3750]],
  "e_tot_ev_per_atom": -4.54,
  "dos_ef_per_ev_atom": 0.75,
  "m_tot_mub_per_cell": 0.0
}

No. 6
{
  "formula": "Ba2Bi2Pt",
  "functional": "GGA-PBE",
  "state": "relaxed",
  "cell": [[4.4312, 0.0000, 0.0000], [0.0000, 4.4312, 0.0000], [2.2156, 2.2156, 9.5317]],
  "species": ["Bi", "Ba", "Pt", "Ba", "Bi"],
  "fractional_positions": [[0.7500, 0.2500, 0.5000], [0.4046, 0.4046, 0.1909], [0.0000, 0.0000, 0.0000], [0.5954, 0.5954, 0.8091], [0.2500, 0.7500, 0.5000]],
  "e_tot_ev_per_atom": -3.98,
  "dos_ef_per_ev_atom": 0.46,
  "m_tot_mub_per_cell": 0.0
}